[1]
This record from Alexandria via LeMat-Bulk describes a PBEsol-optimized structure of Li4Ti3Nb2V3O16. The functional is meta-GGA SCAN.

Lattice parameters (Å, degrees): 5.8430 5.8341 9.6991 90.64 90.00 120.05
Closest atoms and distances in Å follow each position.
Element x y z (fractional)
Li 0.3313 0.6627 0.9001  4 O 1.92-1.94
Li 0.0040 0.0080 0.9913  4 O 1.79-1.97
Li 0.9960 0.9920 0.4943  4 O 1.80-1.95
Li 0.6635 0.3269 0.4014  4 O 1.92-1.93
Ti 0.1678 0.8257 0.2178  6 O 1.96-2.10
Ti 0.6579 0.8257 0.2178  6 O 1.96-2.10
Ti 0.8268 0.6536 0.7203  6 O 1.95-2.09
Nb 0.3249 0.6498 0.4900  6 O 1.96-2.17
Nb 0.6616 0.3232 0.9889  6 O 1.98-2.11
V 0.1790 0.3580 0.2163  6 O 1.98-2.08
V 0.3486 0.1682 0.7142  6 O 1.97-2.07
V 0.8196 0.1682 0.7142  6 O 1.97-2.07
O 0.1646 0.8302 0.5972  1 Li 1.95, 1 Nb 2.01, 1 V 2.04, 1 Ti 2.09
O 0.4814 0.9628 0.3390  1 Li 1.93, 2 Ti 1.97
O 0.3386 0.6773 0.0999  1 Li 1.94, 2 Ti 1.97, 1 V 1.98
O 0.0051 0.0102 0.3088  1 Li 1.80, 2 Ti 1.96, 1 V 1.98
O 0.0033 0.0066 0.8064  1 Li 1.79, 1 Ti 1.96, 2 V 1.97
O 0.6656 0.8302 0.5972  1 Li 1.95, 1 Nb 2.01, 1 V 2.04, 1 Ti 2.09
O 0.0247 0.5208 0.3405  1 Li 1.93, 1 Ti 1.96, 1 V 2.00, 1 Nb 2.10
O 0.4962 0.5209 0.3405  1 Li 1.93, 1 Ti 1.96, 1 V 2.00, 1 Nb 2.10
O 0.8377 0.6753 0.0953  1 Li 1.97, 1 Nb 2.04, 2 Ti 2.05
O 0.1628 0.3256 0.5984  1 Li 1.95, 1 Nb 1.96, 2 V 2.07
O 0.5214 0.4890 0.8417  1 Li 1.92, 1 Ti 1.95, 1 V 2.03, 1 Nb 2.11
O 0.9676 0.4890 0.8417  1 Li 1.92, 1 Ti 1.95, 1 V 2.03, 1 Nb 2.11
O 0.6675 0.3351 0.5992  1 Li 1.92, 2 V 1.97, 1 Ti 1.98
O 0.3321 0.1688 0.0974  1 Li 1.95, 1 Nb 1.98, 1 V 2.08, 1 Ti 2.10
O 0.5132 0.0263 0.8407  1 Li 1.93, 2 V 1.98, 1 Nb 2.06
O 0.8367 0.1688 0.0974  1 Li 1.95, 1 Nb 1.98, 1 V 2.08, 1 Ti 2.10

Electronic total energy (eV per atom): -12.667
Crystal system: monoclinic
Energy relative to the elements, uncorrected (eV/f.u.): -78.6
Fermi-level density of states (states/eV per atom): 0.141


[2]
This record from Alexandria via LeMat-Bulk describes a PBEsol-optimized structure of Li3NbV2O6. The functional is meta-GGA SCAN.

Lattice parameters (Å, degrees): 2.8224 6.0304 6.6799 108.93 102.20 90.00
Closest atoms and distances in Å follow each position.
Element x y z (fractional)
Li 0.5000 0.5000 0.0000  6 O 1.98-2.22
Li 0.1691 0.8184 0.3382  6 O 1.94-2.15
Li 0.8309 0.1816 0.6618  6 O 1.94-2.15
Nb 0.5000 0.0000 0.0000  6 O 2.15
V 0.1565 0.3120 0.3130  6 O 2.00-2.05
V 0.8435 0.6880 0.6870  6 O 2.00-2.05
O 0.6736 0.0916 0.3472  3 Li 1.94-2.15, 2 V 2.00, 1 Nb 2.15
O 0.3264 0.9084 0.6528  3 Li 1.94-2.15, 2 V 2.00, 1 Nb 2.15
O 0.3230 0.4429 0.6460  3 V 2.00-2.05, 3 Li 2.14-2.22
O 0.6770 0.5571 0.3540  3 V 2.00-2.05, 3 Li 2.14-2.22
O 0.0033 0.7336 0.0067  3 Li 1.98-2.05, 1 V 2.01, 2 Nb 2.15
O 0.9967 0.2664 0.9933  3 Li 1.98-2.05, 1 V 2.01, 2 Nb 2.15

Electronic total energy (eV per atom): -11.829
Crystal system: monoclinic
Energy relative to the elements, uncorrected (eV/f.u.): -29.3
Fermi-level density of states (states/eV per atom): 0.225


[3]
This record from Alexandria via LeMat-Bulk describes a PBEsol-optimized structure of Li3Nb4VO12. The functional is meta-GGA SCAN.

Lattice parameters (Å, degrees): 5.1005 5.5731 7.5383 96.30 90.27 90.30
Closest atoms and distances in Å follow each position.
Element x y z (fractional)
Li 0.5086 0.9327 0.7841  4 O 2.00-2.21
Li 0.9961 0.4499 0.7831  3 O 1.98-2.02
Li 0.5000 0.9278 0.2808  3 O 1.94-1.97
Nb 0.0131 0.0153 0.0016  4 O 1.89-2.07
Nb 0.4944 0.5104 0.4862  6 O 1.99-2.09
Nb 0.9961 0.0053 0.5047  6 O 1.92-2.15
Nb 0.5091 0.5063 0.9820  5 O 1.90-2.03
V 0.9982 0.3858 0.3051  6 O 2.01-2.06
O 0.3064 0.2016 0.4047  1 Li 1.97, 2 Nb 2.00-2.11, 1 V 2.06
O 0.1372 0.0348 0.7426  2 Nb 1.92-2.07, 1 Li 2.01
O 0.3237 0.8512 0.0493  1 Nb 1.89, 1 Li 1.96
O 0.1710 0.7000 0.4045  2 Nb 2.00-2.09, 1 V 2.02
O 0.8021 0.7265 0.9203  2 Nb 1.97-2.02, 1 Li 2.02
O 0.3662 0.5336 0.7359  1 Li 1.99, 2 Nb 1.99-2.01
O 0.6526 0.5350 0.2347  2 Nb 2.03-2.08, 1 V 2.05
O 0.1754 0.3675 0.0659  2 Nb 2.00-2.13, 1 V 2.01
O 0.8304 0.3470 0.5488  1 Li 1.98, 2 Nb 2.02-2.08, 1 V 2.06
O 0.7002 0.2219 0.9080  1 Nb 1.90, 1 Li 2.02
O 0.8506 0.0474 0.2421  1 Li 1.94, 2 Nb 1.99-2.15, 1 V 2.03
O 0.6686 0.8409 0.5452  2 Nb 1.94-2.04, 1 Li 2.00

Electronic total energy (eV per atom): -14.237
Crystal system: triclinic
Energy relative to the elements, uncorrected (eV/f.u.): -52.8
Fermi-level density of states (states/eV per atom): 0.160